[1]
The following is a PBE calculation of a relaxed IrBr crystal, from the Alexandria database.

a b c (Å): 10.941 10.941 2.974
angles (deg): 90.00 90.00 90.00
Element x y z (fractional)
Ir 0.678 0.678 0.000
Ir 0.678 0.322 0.000
Ir 0.322 0.678 0.000
Ir 0.322 0.322 0.000
Ir 0.178 0.178 0.500
Ir 0.178 0.822 0.500
Ir 0.822 0.178 0.500
Ir 0.822 0.822 0.500
Br 0.191 0.500 0.000
Br 0.809 0.500 0.000
Br 0.500 0.809 0.000
Br 0.500 0.191 0.000
Br 0.691 0.000 0.500
Br 0.309 0.000 0.500
Br 0.000 0.309 0.500
Br 0.000 0.691 0.500

Values from the calculation:
- formation energy (no corrections) (eV/atom) = 0.729
- raw total energy (eV/f.u.) = -9.077
- M_tot (Bohr magnetons per cell) = 0.00

[2]
The following is a PBE calculation of a relaxed Nd8Sc crystal, from the Alexandria database.

a b c (Å): 5.135 8.133 8.133
angles (deg): 84.28 71.60 71.60
Element x y z (fractional)
Nd 0.336 0.000 0.327
Nd 0.664 0.000 0.673
Nd 0.664 0.673 0.000
Nd 0.000 0.670 0.330
Nd 0.330 0.670 0.670
Nd 0.670 0.330 0.330
Nd 0.000 0.330 0.670
Nd 0.336 0.327 0.000
Sc 0.000 0.000 0.000

Values from the calculation:
- raw total energy (eV/f.u.) = -44.208
- M_tot (Bohr magnetons per cell) = 0.00
- ΔH_f (0 K) (eV/atom) = 0.030

[3]
The following is a PBE calculation of a relaxed CaBi2Ru2 crystal, from the Alexandria database.

a b c (Å): 4.861 4.861 6.142
angles (deg): 66.69 66.69 90.00
Element x y z (fractional)
Ru 0.386 0.386 0.228
Ru 0.614 0.614 0.772
Ca 0.000 0.000 0.000
Bi 0.750 0.250 0.500
Bi 0.250 0.750 0.500

Values from the calculation:
- raw total energy (eV/f.u.) = -27.818
- M_tot (Bohr magnetons per cell) = 0.00
- ΔH_f (0 K) (eV/atom) = 0.099

- What is the formula in the first record?
  IrBr

- Number 3 is which compound?
  CaBi2Ru2

- Which formula does entry 1 have?
  IrBr